# 1
A relaxed Mn2TlCu crystal. Source: Alexandria via LeMat-Bulk, functional GGA-PBE.

Summary:
The calculation puts the density of states at the Fermi level at 3.30 states/eV per cell. For the total energy, the calculation gives -21.3 eV per formula unit.

Structure (POSCAR):
```
Mn2TlCu
1.0
3.719 0.000 0.000
0.000 3.719 0.000
1.860 1.860 9.250
Mn Tl Cu
4 2 2
Cartesian
4.649 4.303 6.937 Mn
2.789 3.135 6.937 Mn
1.276 2.789 2.312 Mn
2.443 0.930 2.312 Mn
3.719 1.860 4.625 Tl
0.000 0.000 0.000 Tl
1.860 3.719 4.625 Cu
1.860 1.860 0.000 Cu
```


# 2
A relaxed NaHSe2Br crystal. Source: Alexandria via LeMat-Bulk, functional GGA-PBE.

Summary:
The calculation puts the density of states at the Fermi level at 1.68 states/eV per cell. For the total energy, the calculation gives -14.5 eV per formula unit. The energy relative to the lowest polymorph listed for this composition is 0.0 kJ/mol of atoms.

Structure (POSCAR):
```
NaHSe2Br
1.0
3.981 0.000 0.000
0.000 3.981 0.000
0.000 0.000 8.222
Na Se H Br
1 2 1 1
Cartesian
1.991 1.991 4.111 Na
0.000 1.991 0.000 Se
1.991 0.000 0.000 Se
0.000 0.000 0.000 H
0.000 0.000 4.111 Br
```


# 3
A relaxed LaMo2Ir crystal. Source: Alexandria via LeMat-Bulk, functional GGA-PBE.

Summary:
The calculation puts the density of states at the Fermi level at 6.24 states/eV per cell. For the total energy, the calculation gives -33.2 eV per formula unit. The energy relative to the lowest polymorph listed for this composition is 40.5 kJ/mol of atoms.

Structure (POSCAR):
```
LaMo2Ir
1.0
4.781 0.000 0.000
0.000 4.781 0.000
0.000 0.000 3.160
Ir Mo La
1 2 1
Cartesian
2.390 0.000 1.580 Ir
0.000 0.000 0.000 Mo
2.390 2.390 0.000 Mo
0.000 2.390 1.580 La
```


# 4
A relaxed ThMgAlPt3 crystal. Source: Alexandria via LeMat-Bulk, functional GGA-PBE.

Summary:
The calculation puts the density of states at the Fermi level at 4.96 states/eV per cell. For the total energy, the calculation gives -35.3 eV per formula unit.

Structure (POSCAR):
```
ThMgAlPt3
1.0
-2.406 2.548 4.557
-6.157 -2.611 -1.791
4.205 -3.665 4.270
Pt Th Al Mg
6 2 2 2
Cartesian
-3.032 0.499 1.747 Pt
-0.194 -1.161 2.360 Pt
-4.164 -2.566 4.676 Pt
-5.531 -0.561 1.020 Pt
-4.328 -1.835 -1.259 Pt
-1.829 -0.775 -0.532 Pt
-3.237 -2.621 1.569 Th
-1.120 -1.107 5.466 Th
0.248 -3.113 3.685 Al
-4.606 -0.615 3.351 Al
-2.653 -5.202 3.322 Mg
-1.705 1.474 3.714 Mg
```


# 5
A relaxed Sm6Ho2Er3Mg crystal. Source: Alexandria via LeMat-Bulk, functional GGA-PBE.

Summary:
The calculation puts the density of states at the Fermi level at 13.10 states/eV per cell. For the total energy, the calculation gives -52.5 eV per formula unit.

Structure (POSCAR):
```
Sm6Ho2Er3Mg
1.0
6.170 -0.003 0.003
-3.086 5.342 0.003
-1.039 -1.799 11.497
Er Sm Ho Mg
3 6 2 1
Cartesian
-2.066 3.553 5.751 Er
4.110 -0.013 5.751 Er
1.022 1.770 5.751 Er
2.049 -0.009 2.866 Sm
3.076 1.770 8.637 Sm
-0.007 -0.012 8.619 Sm
2.052 3.552 2.884 Sm
-0.004 3.549 8.637 Sm
-1.031 1.770 2.866 Sm
0.002 3.559 0.003 Ho
3.082 1.780 0.003 Ho
0.000 0.000 0.000 Mg
```


# 6
A relaxed RbHfIn2Si crystal. Source: Alexandria via LeMat-Bulk, functional GGA-PBE.

Summary:
The energy relative to the elements, uncorrected comes out at 6.22 eV/f.u. The calculation puts the density of states at the Fermi level at 4.38 states/eV per cell. For the total energy, the calculation gives -15.6 eV per formula unit.

Structure (POSCAR):
```
RbHfIn2Si
1.0
-2.528 -4.888 -1.053
4.582 -3.027 3.049
-2.880 0.459 4.784
Rb In Hf Si
1 2 1 1
Cartesian
2.291 -1.513 1.524 Rb
-1.440 0.230 2.392 In
-1.264 -2.444 -0.526 In
0.000 0.000 0.000 Hf
-0.413 -3.727 3.390 Si
```